1.
Here is a relaxed SrTc2SnAu crystal from Alexandria. Energies are from PBE.

```
SrTc2SnAu
1.0
5.123 0.000 0.000
0.000 5.123 0.000
0.000 0.000 5.549
Sr Tc Sn Au
1 2 1 1
Cartesian
0.000 0.000 0.000
0.000 2.562 2.774
2.562 0.000 2.774
2.562 2.562 0.000
0.000 0.000 2.774
```

Values from the calculation:
- crystal system = tetragonal
- distance to the lowest polymorph of the same formula (meV/atom) = 0
- E (eV/atom) = -4.720
- energy of formation from the pure elements (eV per atom) = 1.219
- magnetic moment (μB per cell) = 5.9

2.
Here is a relaxed Pm6GaRh2Br3 crystal from Alexandria. Energies are from PBE.

```
Pm6GaRh2Br3
1.0
9.828 -2.048 0.000
9.828 2.048 0.000
-2.961 0.000 8.597
Pm Ga Rh Br
6 1 2 3
Cartesian
-0.354 0.000 2.107
4.980 0.000 3.758
4.118 0.000 7.526
12.577 0.000 1.070
11.716 0.000 4.839
17.049 0.000 6.490
9.828 0.000 0.000
2.307 0.000 2.949
14.388 0.000 5.648
0.686 0.000 7.232
8.348 0.000 4.298
16.009 0.000 1.365
```

Values from the calculation:
- crystal system = monoclinic
- E (eV/atom) = -5.273
- magnetic moment (μB per cell) = 0.0
- formation energy without anion corrections (eV per atom) = -1.002

3.
Here is a relaxed K2Sc2SnSe6 crystal from Alexandria. Energies are from PBE.

```
K2Sc2SnSe6
1.0
3.410 -5.953 0.000
3.410 5.953 0.000
-2.278 0.000 7.898
K Sc Sn Se
2 2 1 6
Cartesian
3.410 3.977 0.000
3.410 -3.977 0.000
2.271 2.012 3.949
2.271 -2.012 3.949
-1.139 0.000 3.949
0.011 1.981 5.483
1.124 0.000 2.437
0.011 -1.981 5.483
4.531 1.981 2.414
3.418 0.000 5.461
4.531 -1.981 2.414
```

Values from the calculation:
- crystal system = monoclinic
- E (eV/atom) = -4.888
- magnetic moment (μB per cell) = 0.0
- formation energy without anion corrections (eV per atom) = -1.273

4.
Here is a relaxed P3AuS crystal from Alexandria. Energies are from PBE.

```
P3AuS
1.0
4.810 0.000 0.000
0.000 4.810 0.000
0.000 0.000 4.810
P Au S
3 1 1
Cartesian
0.000 0.000 2.405
0.000 2.405 0.000
2.405 0.000 0.000
0.000 0.000 0.000
2.405 2.405 2.405
```

Values from the calculation:
- crystal system = cubic
- distance to the lowest polymorph of the same formula (meV/atom) = 367
- E (eV/atom) = -3.315
- magnetic moment (μB per cell) = 0.1
- formation energy without anion corrections (eV per atom) = 1.412

5.
Here is a relaxed TaMoRu2 crystal from Alexandria. Energies are from PBE.

```
TaMoRu2
1.0
1.395 0.805 9.168
-1.395 0.805 9.168
0.000 -1.610 9.168
Ta Mo Ru
1 1 2
Cartesian
0.000 0.000 0.000
0.000 0.000 13.752
0.000 0.000 6.812
0.000 0.000 20.692
```

Values from the calculation:
- crystal system = trigonal
- distance to the lowest polymorph of the same formula (meV/atom) = 161
- E (eV/atom) = -10.224
- energy of formation from the pure elements (eV per atom) = 0.085
- magnetic moment (μB per cell) = 0.0

6.
Here is a relaxed AlCoS2Cl crystal from Alexandria. Energies are from PBE.

```
AlCoS2Cl
1.0
4.684 0.000 0.000
0.000 4.684 0.000
0.000 0.000 4.518
Al Co S Cl
1 1 2 1
Cartesian
0.000 0.000 0.000
2.342 2.342 2.259
0.000 2.342 0.000
2.342 0.000 0.000
0.000 0.000 2.259
```

Values from the calculation:
- crystal system = tetragonal
- distance to the lowest polymorph of the same formula (meV/atom) = 44
- E (eV/atom) = -4.011
- magnetic moment (μB per cell) = 2.6
- formation energy without anion corrections (eV per atom) = 0.179

| no. | mass density (g/cm3) |
| --- | --- |
| 1 | 6.8 |
| 2 | 6.6 |
| 3 | 3.9 |
| 4 | 4.8 |
| 5 | 12.9 |
| 6 | 3.1 |